1.
Here is crystalline SrBrCl2 at its relaxed geometry from Alexandria. Energies are from PBE.

Results
- electronic total energy (eV/atom) = -3.26
- theoretical density (Mg/m³) = 2.7
- DOS at the Fermi energy (states/eV/cell) = 1.25

Cell lengths 5.5870, 4.4483, 6.0345 Å; angles 90.00, 102.96, 90.00 degrees
Closest atoms and distances in Å follow each position.
Space group P2/m (No. 10)
Unique sites:
Sr (0.0000, 0.0000, 0.0000) x1  4 Cl 2.95, 2 Br 3.02
Br (0.0000, 0.0000, 0.5000) x1  2 Sr 3.02
Cl (0.3427, 0.5000, 0.1536) x2  1 Cl 2.83, 2 Sr 2.95

2.
Here is crystalline CaGa2BiTe at its relaxed geometry from Alexandria. Energies are from PBE.

Results
- electronic total energy (eV/atom) = -2.80
- theoretical density (Mg/m³) = 4.6
- DOS at the Fermi energy (states/eV/cell) = 4.59

Cell lengths 5.5263, 5.5263, 6.1620 Å; angles 90.00, 90.00, 90.00 degrees
Closest atoms and distances in Å follow each position.
Space group P4/mmm (No. 123)
Unique sites:
Ca (0.0000, 0.0000, 0.0000) x1  4 Te 3.91, 8 Ga 4.14
Ga (0.0000, 0.5000, 0.5000) x2  2 Bi 2.76
Bi (0.5000, 0.5000, 0.5000) x1  4 Ga 2.76, 2 Te 3.08
Te (0.5000, 0.5000, 0.0000) x1  2 Bi 3.08

3.
Here is crystalline GdYScGa at its relaxed geometry from Alexandria. Energies are from PBE.

Results
- electronic total energy (eV/atom) = -7.64
- theoretical density (Mg/m³) = 5.9
- DOS at the Fermi energy (states/eV/cell) = 22.19
- E_form (meV/atom) = -160

Cell lengths 7.3940, 7.3940, 7.3940 Å; angles 90.00, 90.00, 90.00 degrees
Closest atoms and distances in Å follow each position.
Space group F-43m (No. 216)
Unique sites:
Gd (0.0000, 0.0000, 0.0000) x4  4 Sc 3.20, 4 Ga 3.20
Y (0.0000, 0.0000, 0.5000) x4  4 Sc 3.20, 4 Ga 3.20
Sc (0.2500, 0.2500, 0.2500) x4  4 Gd 3.20, 4 Y 3.20
Ga (0.2500, 0.2500, 0.7500) x4  4 Gd 3.20, 4 Y 3.20

4.
Here is crystalline Li2Pd5 at its relaxed geometry from Alexandria. Energies are from PBE.

Results
- electronic total energy (eV/atom) = -4.51
- theoretical density (Mg/m³) = 8.8
- DOS at the Fermi energy (states/eV/cell) = 33.44
- E_form (meV/atom) = -257

Cell lengths 12.1134, 4.7521, 7.1738 Å; angles 90.00, 93.41, 90.00 degrees
Closest atoms and distances in Å follow each position.
Space group C2/c (No. 15)
Unique sites:
Li (0.0748, 0.1694, 0.1074) x8  10 Pd 2.71-2.79, 2 Li 2.81
Pd (0.0000, 0.3386, 0.7500) x4  6 Pd 2.72-2.73, 6 Li 2.73-2.79
Pd (0.1399, 0.3315, 0.4675) x8  4 Li 2.71-2.77, 8 Pd 2.72-2.80
Pd (0.2133, 0.1647, 0.8194) x8  3 Li 2.71-2.74, 9 Pd 2.73-2.81

5.
Here is crystalline HfCdAsSe2 at its relaxed geometry from Alexandria. Energies are from PBE.

Results
- electronic total energy (eV/atom) = -3.79
- theoretical density (Mg/m³) = 6.7
- DOS at the Fermi energy (states/eV/cell) = 4.34

Cell lengths 5.0644, 5.0644, 5.0289 Å; angles 90.00, 90.00, 90.00 degrees
Closest atoms and distances in Å follow each position.
Space group P4/mmm (No. 123)
Unique sites:
Hf (0.0000, 0.0000, 0.0000) x1  8 Se 3.57, 4 As 3.58
Cd (0.5000, 0.5000, 0.5000) x1  2 As 2.51, 4 Se 2.53
As (0.5000, 0.5000, 0.0000) x1  2 Cd 2.51
Se (0.0000, 0.5000, 0.5000) x2  2 Cd 2.53

6.
Here is crystalline DyTm5Cd3 at its relaxed geometry from Alexandria. Energies are from PBE.

Results
- electronic total energy (eV/atom) = -3.49
- theoretical density (Mg/m³) = 9.2
- DOS at the Fermi energy (states/eV/cell) = 8.91
- E_form (meV/atom) = -186

Cell lengths 9.0616, 9.0616, 6.8576 Å; angles 90.00, 90.00, 120.00 degrees
Closest atoms and distances in Å follow each position.
Space group P6_3/mcm (No. 193)
Unique sites:
Dy (0.0000, 0.0000, 0.0000) x2  2 Dy 3.43, 6 Cd 3.47, 6 Tm 3.48
Tm (0.0000, 0.3346, 0.2500) x6  3 Cd 3.01-3.03
Tm (0.3333, 0.6667, 0.0000) x4  8 Tm 3.43-3.47, 6 Cd 3.47
Cd (0.0000, 0.3331, 0.7500) x6  3 Tm 3.01-3.03

7.
Here is crystalline Y2LuNb at its relaxed geometry from Alexandria. Energies are from PBE.

Results
- electronic total energy (eV/atom) = -6.59
- theoretical density (Mg/m³) = 6.9
- DOS at the Fermi energy (states/eV/cell) = 17.58
- E_form (meV/atom) = 294

Cell lengths 3.3583, 3.3583, 33.1653 Å; angles 90.00, 90.00, 120.00 degrees
Closest atoms and distances in Å follow each position.
Space group R-3m (No. 166, hexagonal axes)
Unique sites:
Y (0.0000, 0.0000, 0.2425) x6  3 Nb 3.18, 6 Y 3.36
Lu (0.0000, 0.0000, 0.0000) x3  6 Lu 3.36, 6 Y 3.58
Nb (0.0000, 0.0000, 0.5000) x3  6 Y 3.18, 6 Nb 3.36

8.
Here is crystalline TlCu2TeCl8 at its relaxed geometry from Alexandria. Energies are from PBE.

Results
- electronic total energy (eV/atom) = -2.98
- theoretical density (Mg/m³) = 3.2
- DOS at the Fermi energy (states/eV/cell) = 1.43

Cell lengths 7.0952, 7.4652, 8.3814 Å; angles 93.64, 93.06, 117.65 degrees
Closest atoms and distances in Å follow each position.
Space group P-1 (No. 2)
Unique sites:
Tl (0.0000, 0.0000, 0.0000) x1  6 Cl 3.21-3.45
Cu (0.4990, 0.9441, 0.1736) x2  4 Cl 2.23-2.47
Te (0.0000, 0.0000, 0.5000) x1  6 Cl 2.52-2.63
Cl (0.0763, 0.2846, 0.3261) x2  1 Te 2.52
Cl (0.1626, 0.8364, 0.3022) x2  1 Cu 2.47, 1 Te 2.61
Cl (0.3725, 0.2160, 0.6676) x2  1 Cu 2.26
Cl (0.4507, 0.7678, 0.9246) x2  2 Cu 2.23-2.32

Q: DOS at the Fermi energy of number 5 (HfCdAsSe2)?
A: 4.34 states/eV/cell

Q: What is the electronic total energy in the fourth record?
A: -4.51 eV/atom